P:
Below is a relaxed Ti3ZnSb crystal, with properties calculated at the PBE-GGA level.

Cell: 5.1566 6.4097 6.4097 Å, 120.01 90.00 90.00°
Fractional coordinates of all 10 atoms:
Sb (0.7500, 0.6666, 0.3334)
Sb (0.2500, 0.3334, 0.6666)
Ti (0.7500, 0.1952, 0.8048)
Ti (0.2500, 0.8048, 0.1952)
Ti (0.2500, 0.8049, 0.6094)
Ti (0.2500, 0.3906, 0.1951)
Ti (0.7500, 0.1951, 0.3906)
Ti (0.7500, 0.6094, 0.8049)
Zn (0.5000, 0.0000, 0.0000)
Zn (0.0000, 0.0000, 0.0000)

Summary:
- space-group type = P6_3/mmc
- calculated volume (A^3/atom) = 18.3
- M_tot (μB per atom) = 0.20
- density (kg/m3) = 5988

Q:
Below is a relaxed Ti3ZnSb crystal, with properties calculated at the PBE-GGA level.

Cell: 4.9975 4.9975 4.9975 Å, 90.00 90.00 90.00°
Fractional coordinates of all 5 atoms:
Sb (0.0000, 0.0000, 0.0000)
Ti (0.0000, 0.5000, 0.0000)
Ti (0.5000, 0.0000, 0.0000)
Ti (0.0000, 0.0000, 0.5000)
Zn (0.5000, 0.5000, 0.5000)

Summary:
- space-group type = Pm-3m
- calculated volume (A^3/atom) = 25.0
- M_tot (μB per atom) = 0.20
- density (kg/m3) = 4401

Most stable structure - P; separation to the second - 832 meV/atom.